(1)
Pm2ScPb3 (GGA-PBE, optimized geometry); total moment = 0.0 μB/cell; crystal system = monoclinic; final energy = -4.91 eV per atom; calculated volume = 29.41 Å³/atom; ΔE to the lowest computed polymorph = 0.0205 eV per atom
1.0
6.115 -0.393 -0.676
-1.736 8.729 -0.546
-1.736 -4.801 7.310
Sc Pb Pm
2 6 4
Direct
0.750 0.408 0.592
0.250 0.592 0.408
0.980 0.799 0.645
0.500 0.000 0.500
0.000 0.500 0.000
0.480 0.645 0.799
0.520 0.355 0.201
0.020 0.201 0.355
0.750 0.759 0.241
0.250 0.241 0.759
0.750 0.080 0.920
0.250 0.920 0.080

=====

(2)
PmScPb2 (GGA-PBE, optimized geometry); total moment = 0.2 μB/cell; crystal system = tetragonal; final energy = -5.02 eV per atom; calculated volume = 27.21 Å³/atom
1.0
-2.993 -2.356 -2.391
3.224 -3.694 -0.396
-1.757 -1.978 4.147
Pb Sc Pm
2 1 1
Direct
0.000 0.000 0.500
0.000 0.500 0.000
0.500 0.000 0.000
0.500 0.500 0.500

=====

(3)
PmScPb3 (GGA-PBE, optimized geometry); total moment = 0.0 μB/cell; crystal system = monoclinic; final energy = -4.77 eV per atom; calculated volume = 28.08 Å³/atom
1.0
6.580 0.000 0.000
0.000 8.198 0.607
0.000 -3.672 10.141
Pb Pm Sc
12 4 4
Direct
0.628 0.583 0.172
0.128 0.917 0.328
0.372 0.417 0.828
0.871 0.842 0.048
0.629 0.342 0.548
0.129 0.158 0.952
0.371 0.658 0.452
0.635 0.774 0.766
0.365 0.226 0.234
0.865 0.274 0.266
0.872 0.083 0.672
0.135 0.726 0.734
0.358 0.811 0.018
0.142 0.311 0.518
0.858 0.689 0.482
0.642 0.189 0.982
0.882 0.474 0.836
0.618 0.974 0.336
0.382 0.026 0.664
0.118 0.526 0.164

=====

(4)
Pm2ScPb2 (GGA-PBE, optimized geometry); total moment = 0.0 μB/cell; crystal system = orthorhombic; final energy = -5.12 eV per atom; calculated volume = 29.88 Å³/atom
1.0
-0.574 5.009 0.332
-6.276 -0.831 1.684
2.662 -2.809 8.538
Pb Pm Sc
4 4 2
Direct
0.181 0.477 0.362
0.422 0.477 0.843
0.578 0.977 0.157
0.819 0.977 0.638
0.000 0.727 0.000
0.197 0.977 0.395
0.000 0.227 0.000
0.803 0.477 0.605
0.400 0.977 0.800
0.600 0.477 0.200

=====

(5)
Pm5ScPb8 (GGA-PBE, optimized geometry); total moment = 0.0 μB/cell; crystal system = tetragonal; final energy = -4.63 eV per atom; calculated volume = 30.51 Å³/atom
1.0
-4.417 3.371 -6.063
-2.162 -7.911 0.610
-1.381 3.569 7.279
Pm Pb Sc
5 8 1
Direct
0.358 0.112 0.018
0.500 0.000 0.500
0.982 0.340 0.094
0.906 0.888 0.246
0.754 0.660 0.642
0.309 0.280 0.414
0.971 0.105 0.691
0.471 0.586 0.199
0.586 0.895 0.867
0.133 0.720 0.029
0.115 0.728 0.529
0.613 0.414 0.885
0.801 0.272 0.387
0.250 0.500 0.750

=====

(6)
PmSc2Pb (GGA-PBE, optimized geometry); total moment = 1.5 μB/cell; crystal system = cubic; final energy = -5.38 eV per atom; calculated volume = 25.49 Å³/atom; ΔE to the lowest computed polymorph = 0.1600 eV per atom
1.0
5.244 0.000 0.000
2.622 4.541 0.000
2.622 1.514 4.281
Sc Pb Pm
2 1 1
Direct
0.250 0.250 0.250
0.750 0.750 0.750
0.500 0.500 0.500
0.000 0.000 0.000

=====

no.,ΔH_f (0 K) (eV per atom)
1,-0.419
2,-0.394
3,-0.331
4,-0.468
5,-0.360
6,-0.101